First-principles (PBE) data for CaHo2UO6 after structural relaxation, as listed in Alexandria.

Summary:
ρ = 7.8 g/cm³
Total DFT energy (no corrections) = -0.31310 hartree per atom
Energy relative to the elements, uncorrected = -3.30 eV/atom

abc: 5.855 5.862 6.083
angles: 61.40 61.28 60.15
Space group P1 (No. 1)
Symmetry-distinct sites (fractional):
Ca (0.000, 0.000, 0.000) (multiplicity 1)
Ho (0.281, 0.278, 0.164) (multiplicity 1)
Ho (0.781, 0.785, 0.653) (multiplicity 1)
U (0.492, 0.496, 0.519) (multiplicity 1)
O (0.102, 0.409, 0.824) (multiplicity 1)
O (0.182, 0.891, 0.345) (multiplicity 1)
O (0.409, 0.662, 0.832) (multiplicity 1)
O (0.585, 0.181, 0.345) (multiplicity 1)
O (0.662, 0.099, 0.831) (multiplicity 1)
O (0.887, 0.583, 0.343) (multiplicity 1)



First-principles (PBE) data for Ca2HoUO6 after structural relaxation, as listed in Alexandria.

Summary:
ρ = 6.5 g/cm³
Total DFT energy (no corrections) = -0.30343 hartree per atom
Energy relative to the elements, uncorrected = -3.30 eV/atom

abc: 5.8527 5.8527 15.0618
angles: 90.00 90.00 120.00
Space group R3 (No. 146, hexagonal axes)
Symmetry-distinct sites (fractional):
Ca (0.0000, 0.0000, 0.0000) (multiplicity 3)
Ca (0.0000, 0.0000, 0.4964) (multiplicity 3)
Ho (0.0000, 0.0000, 0.2187) (multiplicity 3)
U (0.0000, 0.0000, 0.7143) (multiplicity 3)
O (0.0579, 0.3474, 0.7845) (multiplicity 9)
O (0.0646, 0.6993, 0.2884) (multiplicity 9)